{"formula": "Zn2Sn2SbAs3", "functional": "PBE", "state": "relaxed", "density_g_cm3": 5.36, "e_tot_ev_per_fu": -29.8, "volume_a3_per_cell": 443.0, "lattice_angstrom": [[13.526, 0.000, 0.000], [0.000, 6.050, 0.000], [-2.690, 0.000, 5.413]], "species": ["Zn", "Zn", "Zn", "Zn", "Sn", "Sn", "Sn", "Sn", "Sb", "Sb", "As", "As", "As", "As", "As", "As"], "frac_coords": [[0.130, 0.000, 0.367], [0.370, 0.500, 0.633], [0.630, 0.500, 0.367], [0.870, 0.000, 0.633], [0.129, 0.476, 0.889], [0.371, 0.976, 0.111], [0.629, 0.976, 0.889], [0.871, 0.476, 0.111], [0.000, 0.765, 0.500], [0.500, 0.265, 0.500], [0.000, 0.211, 0.000], [0.250, 0.238, 0.727], [0.250, 0.738, 0.273], [0.500, 0.711, 0.000], [0.750, 0.238, 0.273], [0.750, 0.738, 0.727]]}

{"formula": "Sr2ZnSbAs", "functional": "PBE", "state": "relaxed", "density_g_cm3": 4.83, "e_tot_ev_per_fu": -17.9, "volume_a3_per_cell": 300.5, "lattice_angstrom": [[2.248, -8.372, 0.000], [2.248, 8.372, 0.000], [0.000, 0.000, 7.982]], "species": ["Sr", "Sr", "Sr", "Sr", "Zn", "Zn", "Sb", "Sb", "As", "As"], "frac_coords": [[0.034, 0.966, 0.500], [0.218, 0.782, 0.141], [0.782, 0.218, 0.641], [0.966, 0.034, 0.000], [0.409, 0.591, 0.345], [0.591, 0.409, 0.845], [0.429, 0.571, 0.706], [0.571, 0.429, 0.206], [0.164, 0.836, 0.770], [0.836, 0.164, 0.270]]}